## Rb2RhCBr6 (PBE)

Data for crystalline Rb2RhCBr6 at its relaxed geometry.

```
Rb2RhCBr6
1.0
-0.576 -0.468 7.005
-6.841 -1.543 -0.666
-2.392 -6.723 2.895
C Rh Br Rb
1 1 6 2
direct
0.500 0.500 0.000 C
0.000 0.000 0.000 Rh
0.215 0.215 0.570 Br
0.785 0.785 0.430 Br
0.260 0.260 0.000 Br
0.740 0.740 0.000 Br
0.740 0.260 0.000 Br
0.260 0.740 0.000 Br
0.750 0.250 0.500 Rb
0.250 0.750 0.500 Rb
```

Values from the calculation:
The value obtained for the raw formation energy is -0.278 eV per atom. The magnetic moment is 1.0 μB/cell.